Entry 1:
BaLi3B | PBE-GGA | optimized geometry

a b c (Å): 4.682 4.682 4.682
angles (deg): 90.00 90.00 90.00
Space group Pm-3m (No. 221)
One atom of each set of equivalent atoms:
Ba1 0.000 0.000 0.000 x1
Li1 0.000 0.500 0.500 x3
B1 0.500 0.500 0.500 x1

Computed properties:
E_form ... 0.3166 eV/atom
Calculated total energy ... -12.8 eV/cell
Excess energy over the best structure of this formula in the dataset ... 0.0 kJ/mol of atoms
Magnetization ... 0.000 μB/f.u.

Entry 2:
Ba3LiB | PBE-GGA | optimized geometry

a b c (Å): 6.082 6.082 6.082
angles (deg): 90.00 90.00 90.00
Space group Pm-3m (No. 221)
One atom of each set of equivalent atoms:
Ba1 0.000 0.000 0.500 x3
Li1 0.500 0.500 0.500 x1
B1 0.000 0.000 0.000 x1

Computed properties:
E_form ... 0.4005 eV/atom
Calculated total energy ... -12.4 eV/cell
Excess energy over the best structure of this formula in the dataset ... 0.0 kJ/mol of atoms
Magnetization ... 0.909 μB/f.u.

Entry 3:
BaLi2B2 | PBE-GGA | optimized geometry

a b c (Å): 4.494 4.494 8.687
angles (deg): 90.00 90.00 90.00
Space group I4/mmm (No. 139)
One atom of each set of equivalent atoms:
Ba1 0.000 0.000 0.000 x2
Li1 0.000 0.500 0.250 x4
B1 0.000 0.000 0.410 x4

Computed properties:
E_form ... 0.2492 eV/atom
Calculated total energy ... -35.7 eV/cell
Magnetization ... 0.000 μB/f.u.

Entry 4:
BaLi3B | PBE-GGA | optimized geometry

a b c (Å): 5.968 5.968 5.968
angles (deg): 90.00 90.00 90.00
Space group Pm-3m (No. 221)
One atom of each set of equivalent atoms:
Ba1 0.000 0.000 0.000 x1
Li1 0.000 0.000 0.500 x3
B1 0.500 0.500 0.500 x1

Computed properties:
E_form ... 1.8981 eV/atom
Calculated total energy ... -4.9 eV/cell
Excess energy over the best structure of this formula in the dataset ... 152.6 kJ/mol of atoms
Magnetization ... 0.712 μB/f.u.